Entry 1:
## Sr3MnN3 (PBE-GGA)

Data for crystalline Sr3MnN3 at its relaxed geometry.

Lattice parameters (Å, degrees): 7.7365 7.7365 5.2629 90.00 90.00 120.00
Each line ends with the local moment (μB).
Fractional coordinates of all 14 atoms:
1 Mn 0.6667 0.3333 0.7500  1.05
2 Mn 0.3333 0.6667 0.2500  1.05
3 N 0.8794 0.5682 0.7500  0.00
4 N 0.6889 0.1206 0.7500  0.00
5 N 0.1206 0.4318 0.2500  0.00
6 N 0.5682 0.6889 0.2500  0.00
7 N 0.4318 0.3111 0.7500  0.00
8 N 0.3111 0.8794 0.2500  0.00
9 Sr 0.6393 0.7246 0.7500  0.01
10 Sr 0.7246 0.0852 0.2500  0.01
11 Sr 0.0852 0.3607 0.7500  0.01
12 Sr 0.9148 0.6393 0.2500  0.01
13 Sr 0.3607 0.2754 0.2500  0.01
14 Sr 0.2754 0.9148 0.7500  0.01

offset from the most stable computed form = 0.0000 eV/atom
V = 19.49 A^3/atom
energy relative to the elements, uncorrected = -744 meV per atom

Entry 2:
## SrMnN3 (PBE-GGA)

Data for crystalline SrMnN3 at its relaxed geometry.

Lattice parameters (Å, degrees): 3.7959 3.7959 3.7959 90.00 90.00 90.00
Fractional coordinates of all 5 atoms:
1 N 0.0000 0.0000 0.5000
2 N 0.5000 0.0000 0.0000
3 N 0.0000 0.5000 0.0000
4 Sr 0.5000 0.5000 0.5000
5 Mn 0.0000 0.0000 0.0000

V = 10.94 A^3/atom
energy relative to the elements, uncorrected = 121 meV per atom

Entry 3:
## Sr3MnN4 (PBE-GGA)

Data for crystalline Sr3MnN4 at its relaxed geometry.

Lattice parameters (Å, degrees): 5.2831 5.4478 9.4096 90.00 90.00 90.00
Each line ends with the local moment (μB).
Fractional coordinates of all 16 atoms:
1 N 0.5505 0.1450 0.5000  -0.01
2 N 0.1577 0.8172 0.5000  0.00
3 N 0.5717 0.7229 0.6762  -0.02
4 N 0.0505 0.8550 0.0000  -0.01
5 N 0.6577 0.1828 0.0000  0.00
6 N 0.5717 0.7229 0.3238  -0.02
7 N 0.0717 0.2771 0.8238  -0.02
8 N 0.0717 0.2771 0.1762  -0.02
9 Sr 0.5584 0.2518 0.7518  0.01
10 Sr 0.5612 0.7339 0.0000  0.02
11 Sr 0.0612 0.2661 0.5000  0.02
12 Sr 0.0584 0.7482 0.7482  0.01
13 Sr 0.0584 0.7482 0.2518  0.01
14 Sr 0.5584 0.2518 0.2482  0.01
15 Mn 0.9855 0.1674 0.0000  0.88
16 Mn 0.4855 0.8326 0.5000  0.88

V = 16.93 A^3/atom
energy relative to the elements, uncorrected = -561 meV per atom

Entry 4:
## Sr7MnN6 (PBE-GGA)

Data for crystalline Sr7MnN6 at its relaxed geometry.

Lattice parameters (Å, degrees): 6.7049 11.8052 13.6874 90.00 90.00 90.00
Each line ends with the local moment (μB).
Fractional coordinates of all 56 atoms:
1 Sr 0.4352 0.0000 0.7500  -0.01
2 Sr 0.7636 0.5368 0.0210  0.01
3 Sr 0.8563 0.7793 0.8772  0.00
4 Sr 0.6133 0.2909 0.8703  0.01
5 Sr 0.8867 0.2091 0.3703  0.01
6 Sr 0.7636 0.4632 0.4790  0.01
7 Sr 0.0648 0.5000 0.2500  -0.01
8 Sr 0.1133 0.7909 0.6297  0.01
9 Sr 0.2364 0.4632 0.9790  0.01
10 Sr 0.6437 0.7207 0.3772  0.00
11 Sr 0.6437 0.2793 0.1228  0.00
12 Sr 0.3563 0.2793 0.6228  0.00
13 Sr 0.7364 0.9632 0.5210  0.01
14 Sr 0.6133 0.7091 0.6297  0.01
15 Sr 0.2636 0.9632 0.0210  0.01
16 Sr 0.2364 0.5368 0.5210  0.01
17 Sr 0.3867 0.2909 0.3703  0.01
18 Sr 0.2636 0.0368 0.4790  0.01
19 Sr 0.9352 0.5000 0.7500  -0.01
20 Sr 0.8867 0.7909 0.1297  0.01
21 Sr 0.3563 0.7207 0.8772  0.00
22 Sr 0.5648 0.0000 0.2500  -0.01
23 Sr 0.8563 0.2207 0.6228  0.00
24 Sr 0.1437 0.7793 0.3772  0.00
25 Sr 0.1133 0.2091 0.8703  0.01
26 Sr 0.7364 0.0368 0.9790  0.01
27 Sr 0.1437 0.2207 0.1228  0.00
28 Sr 0.3867 0.7091 0.1297  0.01
29 N 0.9112 0.3339 0.9981  0.00
30 N 0.7735 0.8830 0.7109  0.00
31 N 0.9157 0.9584 0.3526  0.00
32 N 0.2265 0.8830 0.2109  0.00
33 N 0.0888 0.3339 0.4981  0.00
34 N 0.5888 0.8339 0.0019  0.00
35 N 0.4157 0.4584 0.1474  0.00
36 N 0.2735 0.6170 0.7109  0.00
37 N 0.2265 0.1170 0.2891  0.00
38 N 0.0888 0.6661 0.0019  0.00
39 N 0.4112 0.1661 0.9981  0.00
40 N 0.4112 0.8339 0.5019  0.00
41 N 0.0843 0.0416 0.6474  0.00
42 N 0.5888 0.1661 0.4981  0.00
43 N 0.9112 0.6661 0.5019  0.00
44 N 0.7735 0.1170 0.7891  0.00
45 N 0.7265 0.6170 0.2109  0.00
46 N 0.2735 0.3830 0.7891  0.00
47 N 0.9157 0.0416 0.1474  0.00
48 N 0.5843 0.4584 0.6474  0.00
49 N 0.4157 0.5416 0.3526  0.00
50 N 0.5843 0.5416 0.8526  0.00
51 N 0.7265 0.3830 0.2891  0.00
52 N 0.0843 0.9584 0.8526  0.00
53 Mn 0.0709 0.0000 0.2500  1.38
54 Mn 0.5709 0.5000 0.2500  1.38
55 Mn 0.4291 0.5000 0.7500  1.38
56 Mn 0.9291 0.0000 0.7500  1.38

V = 19.35 A^3/atom
energy relative to the elements, uncorrected = -594 meV per atom

Entry 5:
## Sr3MnN3 (PBE-GGA)

Data for crystalline Sr3MnN3 at its relaxed geometry.

Lattice parameters (Å, degrees): 3.5789 16.7359 10.8011 90.00 90.00 90.00
Each line ends with the local moment (μB).
Fractional coordinates of all 28 atoms:
1 N 0.2500 0.5420 0.8699  0.01
2 N 0.7500 0.4909 0.6611  -0.07
3 N 0.2500 0.5091 0.3389  -0.07
4 N 0.7500 0.4580 0.1301  0.01
5 N 0.7500 0.9909 0.8389  -0.07
6 N 0.2500 0.0420 0.6301  0.01
7 N 0.2500 0.0091 0.1611  -0.07
8 N 0.7500 0.9580 0.3699  0.01
9 N 0.2500 0.6303 0.6432  0.04
10 N 0.7500 0.3697 0.3568  0.04
11 N 0.7500 0.8697 0.1432  0.04
12 N 0.2500 0.1303 0.8568  0.04
13 Mn 0.2500 0.5318 0.7035  2.15
14 Mn 0.7500 0.4682 0.2965  2.15
15 Mn 0.2500 0.0318 0.7965  2.15
16 Mn 0.7500 0.9682 0.2035  2.15
17 Sr 0.7500 0.6081 0.4816  0.04
18 Sr 0.7500 0.6647 0.8028  0.03
19 Sr 0.2500 0.8353 0.3028  0.03
20 Sr 0.2500 0.0649 0.3914  0.04
21 Sr 0.7500 0.9351 0.6086  0.04
22 Sr 0.2500 0.3919 0.5184  0.04
23 Sr 0.7500 0.4351 0.8914  0.04
24 Sr 0.2500 0.5649 0.1086  0.04
25 Sr 0.2500 0.8919 0.9816  0.04
26 Sr 0.2500 0.3353 0.1972  0.03
27 Sr 0.7500 0.1081 0.0184  0.04
28 Sr 0.7500 0.1647 0.6972  0.03

offset from the most stable computed form = 0.1866 eV/atom
V = 23.10 A^3/atom
energy relative to the elements, uncorrected = -557 meV per atom

Entry 6:
## SrTb2MnN4 (PBE-GGA)

Data for crystalline SrTb2MnN4 at its relaxed geometry.

Lattice parameters (Å, degrees): 3.4672 6.1879 11.7550 90.00 90.00 106.27
Each line ends with the local moment (μB).
Fractional coordinates of all 16 atoms:
1 Mn 0.1752 0.3505 0.2500  2.18
2 Mn 0.8248 0.6495 0.7500  2.18
3 Tb 0.3696 0.7391 0.9571  0.05
4 Tb 0.3696 0.7391 0.5429  0.05
5 Tb 0.6304 0.2609 0.4571  0.05
6 Tb 0.6304 0.2609 0.0429  0.05
7 Sr 0.0972 0.1945 0.7500  0.02
8 Sr 0.9028 0.8055 0.2500  0.02
9 N 0.0000 0.0000 0.5000  0.04
10 N 0.7398 0.4796 0.6233  0.04
11 N 0.2602 0.5204 0.3767  0.04
12 N 0.7398 0.4796 0.8767  0.04
13 N 0.3987 0.7974 0.7500  -0.03
14 N 0.2602 0.5204 0.1233  0.04
15 N 0.6013 0.2026 0.2500  -0.03
16 N 0.0000 0.0000 0.0000  0.04

V = 15.13 A^3/atom
energy relative to the elements, uncorrected = -1100 meV per atom

Entry 7:
## SrMnTe2N (PBE-GGA)

Data for crystalline SrMnTe2N at its relaxed geometry.

Lattice parameters (Å, degrees): 6.1721 6.1721 4.7555 90.00 90.00 90.00
Each line ends with the local moment (μB).
Fractional coordinates of all 5 atoms:
1 N 0.0000 0.0000 0.5000  1.38
2 Mn 0.5000 0.5000 0.5000  4.53
3 Sr 0.0000 0.0000 0.0000  0.03
4 Te 0.5000 0.0000 0.0000  -0.05
5 Te 0.0000 0.5000 0.0000  -0.05

offset from the most stable computed form = 1.4086 eV/atom
V = 36.23 A^3/atom
energy relative to the elements, uncorrected = 980 meV per atom

Entry 8:
## SrMnTe2N (PBE-GGA)

Data for crystalline SrMnTe2N at its relaxed geometry.

Lattice parameters (Å, degrees): 5.6874 5.6874 3.6303 90.00 90.00 90.00
Each line ends with the local moment (μB).
Fractional coordinates of all 5 atoms:
1 Te 0.0000 0.5000 0.0000  -0.07
2 Te 0.5000 0.0000 0.0000  -0.07
3 Mn 0.0000 0.0000 0.0000  2.54
4 N 0.0000 0.0000 0.5000  -0.40
5 Sr 0.5000 0.5000 0.5000  0.01

offset from the most stable computed form = 0.0000 eV/atom
V = 23.49 A^3/atom
energy relative to the elements, uncorrected = -429 meV per atom

Entry 9:
## SrThMnN3 (PBE-GGA)

Data for crystalline SrThMnN3 at its relaxed geometry.

Lattice parameters (Å, degrees): 3.5915 7.5781 7.6853 97.57 90.00 90.00
Each line ends with the local moment (μB).
Fractional coordinates of all 12 atoms:
1 N 0.7500 0.8666 0.1666  0.04
2 N 0.7500 0.4187 0.1314  0.00
3 N 0.2500 0.5813 0.8686  0.00
4 N 0.7500 0.1530 0.5319  -0.05
5 N 0.2500 0.1334 0.8334  0.04
6 N 0.2500 0.8470 0.4681  -0.05
7 Sr 0.2500 0.1611 0.1795  0.01
8 Sr 0.7500 0.8389 0.8205  0.01
9 Mn 0.2500 0.0773 0.5888  1.64
10 Mn 0.7500 0.9227 0.4112  1.64
11 Th 0.7500 0.3636 0.8223  0.05
12 Th 0.2500 0.6364 0.1777  0.05

V = 17.28 A^3/atom
energy relative to the elements, uncorrected = -960 meV per atom

Entry 10:
## Sr2MnTlN (PBE-GGA)

Data for crystalline Sr2MnTlN at its relaxed geometry.

Lattice parameters (Å, degrees): 5.5929 5.5929 3.6799 90.00 90.00 90.00
Each line ends with the local moment (μB).
Fractional coordinates of all 5 atoms:
1 N 0.0000 0.0000 0.0000  0.01
2 Sr 0.0000 0.5000 0.0000  0.00
3 Sr 0.5000 0.0000 0.0000  0.00
4 Mn 0.0000 0.0000 0.5000  -0.11
5 Tl 0.5000 0.5000 0.5000  -0.01

V = 23.02 A^3/atom
energy relative to the elements, uncorrected = -262 meV per atom

Entry 11:
## SrTm2MnN4 (PBE-GGA)

Data for crystalline SrTm2MnN4 at its relaxed geometry.

Lattice parameters (Å, degrees): 3.4113 6.0856 11.5495 90.00 90.00 106.28
Each line ends with the local moment (μB).
Fractional coordinates of all 16 atoms:
1 Mn 0.8259 0.6518 0.7500  2.14
2 Mn 0.1741 0.3482 0.2500  2.14
3 N 0.0000 0.0000 0.5000  0.04
4 N 0.7410 0.4820 0.6200  0.05
5 N 0.5984 0.1968 0.2500  -0.03
6 N 0.2590 0.5180 0.1200  0.05
7 N 0.7410 0.4820 0.8800  0.05
8 N 0.2590 0.5180 0.3800  0.05
9 N 0.4016 0.8032 0.7500  -0.03
10 N 0.0000 0.0000 0.0000  0.04
11 Tm 0.6302 0.2603 0.0429  0.05
12 Tm 0.3698 0.7397 0.9571  0.05
13 Tm 0.6302 0.2603 0.4571  0.05
14 Tm 0.3698 0.7397 0.5429  0.05
15 Sr 0.9035 0.8069 0.2500  0.02
16 Sr 0.0965 0.1931 0.7500  0.02

V = 14.38 A^3/atom
energy relative to the elements, uncorrected = -1179 meV per atom

Entry 12:
## SrU2MnN4 (PBE-GGA)

Data for crystalline SrU2MnN4 at its relaxed geometry.

Lattice parameters (Å, degrees): 3.4392 6.1177 11.4002 90.00 90.00 106.33
Each line ends with the local moment (μB).
Fractional coordinates of all 16 atoms:
1 N 0.7390 0.4780 0.8933  0.04
2 N 0.2610 0.5220 0.3933  0.04
3 N 0.7390 0.4780 0.6067  0.04
4 N 0.5758 0.1517 0.2500  0.01
5 N 0.4242 0.8483 0.7500  0.01
6 N 0.0000 0.0000 0.5000  0.07
7 N 0.0000 0.0000 0.0000  0.07
8 N 0.2610 0.5220 0.1067  0.04
9 Sr 0.0975 0.1949 0.7500  0.00
10 Sr 0.9025 0.8051 0.2500  0.00
11 Mn 0.1676 0.3351 0.2500  1.92
12 Mn 0.8324 0.6649 0.7500  1.92
13 U 0.6317 0.2633 0.4440  -0.88
14 U 0.3683 0.7367 0.5560  -0.88
15 U 0.6317 0.2633 0.0560  -0.88
16 U 0.3683 0.7367 0.9440  -0.88

V = 14.39 A^3/atom
energy relative to the elements, uncorrected = -1085 meV per atom